Entry from Alexandria: a geometry-optimized La4Dy2HoTm structure (PBE-GGA).

a = 5.2237 Å, b = 5.2525 Å, c = 9.8893 Å
α = 90.00°, β = 90.00°, γ = 90.00°
Last column: nearest neighbours and their distance in Å.
Fractional positions:
La: 0.0000 0.0000 0.2493  2 Tm 3.59, 4 Dy 3.60, 2 Ho 3.61, 4 La 3.70
La: 0.0000 0.0000 0.7507  2 Tm 3.59, 4 Dy 3.60, 2 Ho 3.61, 4 La 3.70
La: 0.5000 0.5000 0.2494  4 Dy 3.59-3.61, 2 Ho 3.60, 2 Tm 3.60, 4 La 3.70
La: 0.5000 0.5000 0.7506  4 Dy 3.59-3.61, 2 Ho 3.60, 2 Tm 3.60, 4 La 3.70
Dy: 0.0000 0.5000 0.0000  8 La 3.59-3.60, 4 Tm 3.70
Dy: 0.5000 0.0000 0.5000  8 La 3.60-3.61, 4 Ho 3.70
Ho: 0.0000 0.5000 0.5000  8 La 3.60-3.61, 4 Dy 3.70
Tm: 0.5000 0.0000 0.0000  8 La 3.59-3.60, 4 Dy 3.70

The energy of formation is 0.02 eV per atom. Its symmetry is Pmmm (47).